The following is a DFT calculation (PBE) of an optimized crystal structure of Tb2Dy6Er3Sc.

For the energy relative to the elements, the calculation gives 0.026 eV/atom. Its total magnetization is 0.000 μB/atom. For the volume, the calculation gives 30.62 Å³/atom. The energy is -4.71 eV/atom. As for the space-group type: C2/m (12).

```
data_Tb2Dy6Er3Sc
_space_group_name_H-M_alt 'P 1'
_space_group_IT_number 1
_space_group_name_Hall 'P 1'
_cell_length_a 6.082
_cell_length_b 6.082
_cell_length_c 11.640
_cell_angle_alpha 94.98
_cell_angle_beta 94.98
_cell_angle_gamma 119.95
loop_
_atom_site_label
_atom_site_fract_x
_atom_site_fract_y
_atom_site_fract_z
Tb1 0.333 0.667 0.000
Tb2 0.667 0.333 0.000
Dy1 0.917 0.586 0.751
Dy2 0.752 0.752 0.249
Dy3 0.083 0.414 0.249
Dy4 0.586 0.917 0.751
Dy5 0.248 0.248 0.751
Dy6 0.414 0.083 0.249
Er1 0.166 0.834 0.500
Er2 0.834 0.166 0.500
Er3 0.500 0.500 0.500
Sc1 0.000 0.000 0.000
```



The following is a DFT calculation (PBE) of an optimized crystal structure of PmErSc.

For the energy relative to the elements, the calculation gives 0.625 eV/atom. Its total magnetization is 0.020 μB/atom. For the volume, the calculation gives 35.11 Å³/atom. As for the distance to the lowest polymorph of the same formula: 575 meV per atom. The energy is -4.59 eV/atom. As for the space-group type: Pmm2 (25).

```
data_PmErSc
_space_group_name_H-M_alt 'P 1'
_space_group_IT_number 1
_space_group_name_Hall 'P 1'
_cell_length_a 6.369
_cell_length_b 6.650
_cell_length_c 6.369
_cell_angle_alpha 73.20
_cell_angle_beta 66.64
_cell_angle_gamma 106.80
loop_
_atom_site_label
_atom_site_fract_x
_atom_site_fract_y
_atom_site_fract_z
Pm1 0.282 0.000 0.718
Pm2 0.782 0.000 0.218
Er1 0.286 0.500 0.714
Er2 0.785 0.500 0.215
Sc1 0.280 0.000 0.220
Sc2 0.780 0.000 0.720
```



The following is a DFT calculation (PBE) of an optimized crystal structure of KTlSn2F6.

The calculation puts the uncorrected formation energy at -2.299 eV per atom. Its total magnetization is 0.000 μB/atom. For the volume, the calculation gives 21.36 Å³/atom. The energy is -4.57 eV/atom. As for the space-group type: C2/c (15).

```
data_KTlSn2F6
_space_group_name_H-M_alt 'P 1'
_space_group_IT_number 1
_space_group_name_Hall 'P 1'
_cell_length_a 6.318
_cell_length_b 8.259
_cell_length_c 8.259
_cell_angle_alpha 97.60
_cell_angle_beta 89.63
_cell_angle_gamma 89.63
loop_
_atom_site_label
_atom_site_fract_x
_atom_site_fract_y
_atom_site_fract_z
K1 0.250 0.377 0.623
K2 0.750 0.623 0.377
Tl1 0.250 0.849 0.151
Tl2 0.750 0.151 0.849
Sn1 0.311 0.880 0.679
Sn2 0.189 0.321 0.120
Sn3 0.689 0.120 0.321
Sn4 0.811 0.679 0.880
F1 0.095 0.069 0.661
F2 0.405 0.339 0.931
F3 0.905 0.931 0.339
F4 0.595 0.661 0.069
F5 0.409 0.843 0.434
F6 0.091 0.566 0.157
F7 0.591 0.157 0.566
F8 0.909 0.434 0.843
F9 0.089 0.694 0.618
F10 0.411 0.382 0.306
F11 0.911 0.306 0.382
F12 0.589 0.618 0.694
```



The following is a DFT calculation (PBE) of an optimized crystal structure of CrPbS2.

The calculation puts the uncorrected formation energy at -0.332 eV per atom. Its total magnetization is 0.028 μB/atom. For the volume, the calculation gives 23.18 Å³/atom. The energy is -5.73 eV/atom. As for the space-group type: C2/c (15).

```
data_CrPbS2
_space_group_name_H-M_alt 'P 1'
_space_group_IT_number 1
_space_group_name_Hall 'P 1'
_cell_length_a 14.920
_cell_length_b 7.350
_cell_length_c 7.350
_cell_angle_alpha 89.96
_cell_angle_beta 106.06
_cell_angle_gamma 73.94
loop_
_atom_site_label
_atom_site_fract_x
_atom_site_fract_y
_atom_site_fract_z
Pb1 0.426 0.452 0.250
Pb2 0.074 0.750 0.952
Pb3 0.574 0.548 0.750
Pb4 0.926 0.250 0.048
Pb5 0.346 0.017 0.109
Pb6 0.154 0.609 0.517
Pb7 0.654 0.983 0.891
Pb8 0.846 0.391 0.483
Cr1 0.187 0.065 0.320
Cr2 0.313 0.820 0.565
Cr3 0.813 0.935 0.680
Cr4 0.687 0.180 0.435
Cr5 0.306 0.170 0.566
Cr6 0.194 0.066 0.670
Cr7 0.694 0.830 0.434
Cr8 0.806 0.934 0.330
S1 0.943 0.834 0.562
S2 0.557 0.062 0.334
S3 0.057 0.166 0.438
S4 0.443 0.938 0.666
S5 0.726 0.223 0.166
S6 0.774 0.666 0.723
S7 0.274 0.777 0.834
S8 0.226 0.334 0.277
S9 0.597 0.546 0.396
S10 0.903 0.896 0.046
S11 0.403 0.454 0.604
S12 0.097 0.104 0.954
S13 0.750 0.234 0.734
S14 0.250 0.766 0.266
S15 0.750 0.693 0.193
S16 0.250 0.307 0.807
```



The following is a DFT calculation (PBE) of an optimized crystal structure of Cs2HfThO6.

The calculation puts the uncorrected formation energy at -2.473 eV per atom. Its total magnetization is 0.206 μB/atom. For the volume, the calculation gives 17.72 Å³/atom. The energy is -7.36 eV/atom. As for the space-group type: Fm-3m (225).

```
data_Cs2HfThO6
_space_group_name_H-M_alt 'P 1'
_space_group_IT_number 1
_space_group_name_Hall 'P 1'
_cell_length_a 6.305
_cell_length_b 6.305
_cell_length_c 6.305
_cell_angle_alpha 59.99
_cell_angle_beta 60.00
_cell_angle_gamma 90.01
loop_
_atom_site_label
_atom_site_fract_x
_atom_site_fract_y
_atom_site_fract_z
Cs1 0.250 0.750 0.500
Cs2 0.750 0.250 0.500
Hf1 0.000 0.000 0.000
Th1 0.500 0.500 0.000
O1 0.237 0.763 0.000
O2 0.763 0.763 0.000
O3 0.237 0.237 0.525
O4 0.763 0.237 0.000
O5 0.237 0.237 0.000
O6 0.763 0.763 0.475
```



The following is a DFT calculation (PBE) of an optimized crystal structure of Li2RhPb.

For the energy relative to the elements, the calculation gives 0.048 eV/atom. Its total magnetization is 0.100 μB/atom. For the volume, the calculation gives 18.71 Å³/atom. The energy is -3.67 eV/atom. As for the space-group type: R-3m (166).

```
data_Li2RhPb
_space_group_name_H-M_alt 'P 1'
_space_group_IT_number 1
_space_group_name_Hall 'P 1'
_cell_length_a 9.140
_cell_length_b 9.140
_cell_length_c 9.140
_cell_angle_alpha 19.56
_cell_angle_beta 19.56
_cell_angle_gamma 19.56
loop_
_atom_site_label
_atom_site_fract_x
_atom_site_fract_y
_atom_site_fract_z
Li1 0.014 0.014 0.014
Li2 0.486 0.486 0.486
Pb1 0.250 0.250 0.250
Rh1 0.750 0.750 0.750
```



It is found that the DOS(E_F) values, taken in the order of the records, are 16.3; 12.4; 0.0; 11.5; 5.7; 3.0 states/eV per cell.